Compound: GdEr2Mg3Tl2Zn
Source: OQMD
Functional: PBE
Structure: relaxed

Properties
Magnetic moment: 0.0 μB per formula unit
Raw total energy: -27.23 eV/cell
Calculated density: 7.83 Mg/m³

abc: 4.544 7.505 7.505
angles: 120.55 90.00 90.00
Atoms (fractional coordinates):
Gd 0.000 0.000 0.000
Er 0.000 0.170 0.585
Er 0.000 0.585 0.170
Mg 0.500 0.348 0.348
Mg 0.500 0.584 0.819
Mg 0.500 0.819 0.584
Tl 0.500 0.253 0.917
Tl 0.500 0.917 0.253
Zn 0.000 0.580 0.580

---

Compound: Ta4Co5Bi5
Source: OQMD
Functional: PBE
Structure: relaxed

Properties
Magnetic moment: 0.0 μB per formula unit
Raw total energy: -103.01 eV/cell
Calculated density: 12.43 Mg/m³

abc: 7.387 7.387 7.387
angles: 99.76 99.76 131.37
Atoms (fractional coordinates):
Ta 0.059 0.162 0.707
Ta 0.455 0.352 0.293
Ta 0.648 0.941 0.103
Ta 0.838 0.545 0.897
Co 0.000 0.000 0.000
Co 0.188 0.580 0.825
Co 0.420 0.245 0.607
Co 0.637 0.812 0.393
Co 0.755 0.363 0.175
Bi 0.152 0.463 0.135
Bi 0.329 0.018 0.865
Bi 0.537 0.671 0.689
Bi 0.750 0.250 0.500
Bi 0.982 0.848 0.311

---

Compound: NdHfPO
Source: OQMD
Functional: PBE
Structure: relaxed

Properties
Magnetic moment: 0.0 μB per formula unit
Raw total energy: -61.31 eV/cell
Calculated density: 8.69 Mg/m³
Energy above the lowest structure with this stoichiometry: 574 meV/atom

abc: 4.150 4.150 8.200
angles: 90.00 90.00 90.00
Atoms (fractional coordinates):
Nd 0.250 0.750 0.000
Nd 0.750 0.250 0.000
Hf 0.250 0.250 0.404
Hf 0.750 0.750 0.596
P 0.250 0.250 0.751
P 0.750 0.750 0.249
O 0.250 0.750 0.500
O 0.750 0.250 0.500

---

Compound: TaBi2Mo
Source: OQMD
Functional: PBE
Structure: relaxed

Properties
Magnetic moment: 0.0 μB per formula unit
Raw total energy: -27.64 eV/cell
Calculated density: 13.22 Mg/m³

abc: 4.979 4.979 4.979
angles: 60.00 60.00 60.00
Atoms (fractional coordinates):
Ta 0.000 0.000 0.000
Bi 0.500 0.500 0.500
Bi 0.750 0.750 0.750
Mo 0.250 0.250 0.250

---

Compound: Y3In3AgIr2
Source: OQMD
Functional: PBE
Structure: relaxed

Properties
Magnetic moment: 0.0 μB per formula unit
Raw total energy: -53.65 eV/cell
Calculated density: 9.21 Mg/m³

abc: 7.727 7.727 3.846
angles: 90.00 90.00 120.00
Atoms (fractional coordinates):
Y 0.000 0.412 0.000
Y 0.412 0.000 0.000
Y 0.588 0.588 0.000
In 0.000 0.731 0.500
In 0.269 0.269 0.500
In 0.731 0.000 0.500
Ag 0.000 0.000 0.000
Ir 0.333 0.667 0.500
Ir 0.667 0.333 0.500

---

Compound: TlPtO3
Source: OQMD
Functional: PBE
Structure: relaxed

Properties
Magnetic moment: 0.0 μB per formula unit
Raw total energy: -24.59 eV/cell
Calculated density: 11.41 Mg/m³

abc: 3.929 3.929 4.218
angles: 90.00 90.00 90.00
Atoms (fractional coordinates):
Tl 0.000 0.000 0.000
Pt 0.500 0.500 0.546
O 0.000 0.500 0.626
O 0.500 0.000 0.626
O 0.500 0.500 0.065

---

Compound: GdPbNO
Source: OQMD
Functional: PBE
Structure: relaxed

Properties
Magnetic moment: 0.7 μB per formula unit
Raw total energy: -47.76 eV/cell
Calculated density: 5.63 Mg/m³
Energy above the lowest structure with this stoichiometry: 917 meV/atom

abc: 4.585 4.585 11.064
angles: 90.00 90.00 90.00
Atoms (fractional coordinates):
Gd 0.250 0.250 0.049
Gd 0.750 0.750 0.951
Pb 0.250 0.750 0.500
Pb 0.750 0.250 0.500
N 0.250 0.250 0.523
N 0.750 0.750 0.477
O 0.250 0.750 0.000
O 0.750 0.250 0.000

---

Compound: Cu2HgTe2F2
Source: OQMD
Functional: PBE
Structure: relaxed

Properties
Raw total energy: -21.33 eV/cell
Calculated density: 8.08 Mg/m³

abc: 3.600 3.600 9.842
angles: 90.00 90.00 90.00
Atoms (fractional coordinates):
Cu 0.000 0.500 0.128
Cu 0.500 0.000 0.872
Hg 0.500 0.500 0.500
Te 0.000 0.500 0.734
Te 0.500 0.000 0.266
F 0.000 0.000 0.000
F 0.500 0.500 0.000

---

Compound: NbCdSiNi
Source: OQMD
Functional: PBE
Structure: relaxed

Properties
Magnetic moment: 0.0 μB per formula unit
Raw total energy: -21.33 eV/cell
Calculated density: 7.83 Mg/m³

abc: 4.442 4.442 4.442
angles: 60.00 60.00 60.00
Atoms (fractional coordinates):
Nb 0.000 0.000 0.000
Cd 0.750 0.750 0.750
Si 0.250 0.250 0.250
Ni 0.500 0.500 0.500

---

Compound: Nd4CIBr2F2
Source: OQMD
Functional: PBE
Structure: relaxed

Properties
Magnetic moment: 0.0 μB per formula unit
Raw total energy: -55.47 eV/cell
Calculated density: 5.25 Mg/m³

abc: 9.012 9.012 8.653
angles: 101.98 101.98 24.90
Atoms (fractional coordinates):
Nd 0.003 0.003 0.199
Nd 0.356 0.356 0.922
Nd 0.644 0.644 0.078
Nd 0.997 0.997 0.801
C 0.500 0.500 0.000
I 0.500 0.500 0.500
Br 0.172 0.172 0.829
Br 0.828 0.828 0.171
F 0.146 0.146 0.244
F 0.854 0.854 0.756

---

Compound: ZrI3O
Source: OQMD
Functional: PBE
Structure: relaxed

Properties
Magnetic moment: 0.9 μB per formula unit
Raw total energy: -39.49 eV/cell
Calculated density: 5.09 Mg/m³

abc: 7.041 7.041 7.411
angles: 90.00 90.00 120.00
Atoms (fractional coordinates):
Zr 0.333 0.667 0.000
Zr 0.667 0.333 0.000
I 0.000 0.343 0.235
I 0.000 0.657 0.765
I 0.343 0.000 0.235
I 0.343 0.343 0.765
I 0.657 0.000 0.765
I 0.657 0.657 0.235
O 0.000 0.000 0.241
O 0.000 0.000 0.759

---

Compound: Ba2Na2Cd3
Source: OQMD
Functional: PBE
Structure: relaxed

Properties
Raw total energy: -10.17 eV/cell
Calculated density: 4.45 Mg/m³

abc: 9.536 9.536 9.536
angles: 34.29 34.29 34.29
Atoms (fractional coordinates):
Ba 0.000 0.000 0.000
Ba 0.488 0.488 0.488
Na 0.241 0.241 0.241
Na 0.742 0.742 0.742
Cd 0.360 0.360 0.360
Cd 0.617 0.617 0.617
Cd 0.872 0.872 0.872

---

Compound: CdFeBiPd
Source: OQMD
Functional: PBE
Structure: relaxed

Properties
Magnetic moment: 2.3 μB per formula unit
Raw total energy: -17.85 eV/cell
Calculated density: 10.74 Mg/m³
Energy above the lowest structure with this stoichiometry: 0 meV/atom

abc: 4.728 4.728 4.728
angles: 60.00 60.00 60.00
Atoms (fractional coordinates):
Cd 0.000 0.000 0.000
Fe 0.750 0.750 0.750
Bi 0.500 0.500 0.500
Pd 0.250 0.250 0.250

---

Compound: Li4Al2PdPt
Source: OQMD
Functional: PBE
Structure: relaxed

Properties
Magnetic moment: 0.0 μB per formula unit
Raw total energy: -31.29 eV/cell
Calculated density: 5.78 Mg/m³

abc: 4.273 4.273 6.029
angles: 90.00 90.00 90.00
Atoms (fractional coordinates):
Li 0.000 0.000 0.000
Li 0.000 0.500 0.750
Li 0.500 0.000 0.250
Li 0.500 0.500 0.500
Al 0.000 0.500 0.245
Al 0.500 0.000 0.755
Pd 0.000 0.000 0.500
Pt 0.500 0.500 0.000

---

Compound: ErLuPt
Source: OQMD
Functional: PBE
Structure: relaxed

Properties
Magnetic moment: 0.0 μB per formula unit
Raw total energy: -15.47 eV/cell
Calculated density: 12.25 Mg/m³

abc: 4.688 4.688 4.688
angles: 60.00 60.00 60.00
Atoms (fractional coordinates):
Er 0.000 0.000 0.000
Lu 0.250 0.250 0.250
Pt 0.500 0.500 0.500

---

Compound: ReS2
Source: OQMD
Functional: PBE
Structure: relaxed

Properties
Magnetic moment: 0.0 μB per formula unit
Raw total energy: -38.96 eV/cell
Calculated density: 7.43 Mg/m³

abc: 3.357 3.357 9.925
angles: 90.00 90.00 90.00
Atoms (fractional coordinates):
Re 0.250 0.250 0.061
Re 0.750 0.750 0.939
S 0.250 0.250 0.827
S 0.250 0.750 0.500
S 0.750 0.250 0.500
S 0.750 0.750 0.173

---

Compound: La3SmS6
Source: OQMD
Functional: PBE
Structure: relaxed

Properties
Magnetic moment: 0.0 μB per formula unit
Raw total energy: -130.84 eV/cell
Calculated density: 4.73 Mg/m³

abc: 11.399 4.161 11.764
angles: 90.00 107.24 90.00
Atoms (fractional coordinates):
La 0.074 0.250 0.171
La 0.185 0.750 0.509
La 0.338 0.250 0.918
La 0.662 0.750 0.082
La 0.815 0.250 0.491
La 0.926 0.750 0.829
Sm 0.456 0.250 0.316
Sm 0.544 0.750 0.684
S 0.026 0.250 0.390
S 0.094 0.250 0.931
S 0.252 0.750 0.283
S 0.319 0.750 0.753
S 0.394 0.250 0.542
S 0.416 0.750 0.101
S 0.584 0.250 0.899
S 0.606 0.750 0.458
S 0.681 0.250 0.247
S 0.748 0.250 0.717
S 0.906 0.750 0.069
S 0.974 0.750 0.610

---

Compound: TcAuNO
Source: OQMD
Functional: PBE
Structure: relaxed

Properties
Magnetic moment: 0.0 μB per formula unit
Raw total energy: -54.60 eV/cell
Calculated density: 8.77 Mg/m³
Energy above the lowest structure with this stoichiometry: 0 meV/atom

abc: 2.860 6.915 6.224
angles: 90.00 90.00 90.00
Atoms (fractional coordinates):
Tc 0.000 0.124 0.000
Tc 0.000 0.876 0.500
Au 0.500 0.492 0.645
Au 0.500 0.508 0.145
N 0.500 0.302 0.900
N 0.500 0.698 0.400
O 0.000 0.071 0.297
O 0.000 0.929 0.797

---

Compound: Lu3HfHg2C2
Source: OQMD
Functional: PBE
Structure: relaxed

Properties
Magnetic moment: 0.3 μB per formula unit
Raw total energy: -46.33 eV/cell
Calculated density: 11.93 Mg/m³

abc: 3.446 3.446 15.274
angles: 90.00 90.00 120.00
Atoms (fractional coordinates):
Lu 0.000 0.000 0.000
Lu 0.000 0.000 0.329
Lu 0.667 0.333 0.827
Hf 0.667 0.333 0.497
Hg 0.000 0.000 0.657
Hg 0.667 0.333 0.167
C 0.333 0.667 0.425
C 0.333 0.667 0.914

---

Compound: LuHgTe
Source: OQMD
Functional: PBE
Structure: relaxed

Properties
Magnetic moment: 0.0 μB per formula unit
Raw total energy: -8.78 eV/cell
Calculated density: 8.86 Mg/m³
Energy above the lowest structure with this stoichiometry: 0 meV/atom

abc: 5.109 5.109 5.109
angles: 60.00 60.00 60.00
Atoms (fractional coordinates):
Lu 0.000 0.000 0.000
Hg 0.500 0.500 0.500
Te 0.750 0.750 0.750

---

Compound: PrTm2Mg3Pt2Au
Source: OQMD
Functional: PBE
Structure: relaxed

Properties
Magnetic moment: 0.0 μB per formula unit
Raw total energy: -41.39 eV/cell
Calculated density: 9.60 Mg/m³

abc: 4.057 7.508 7.508
angles: 120.58 90.00 90.00
Atoms (fractional coordinates):
Pr 0.000 0.000 0.000
Tm 0.000 0.419 0.834
Tm 0.000 0.834 0.419
Mg 0.500 0.169 0.422
Mg 0.500 0.422 0.169
Mg 0.500 0.666 0.666
Pt 0.500 0.087 0.742
Pt 0.500 0.742 0.087
Au 0.000 0.425 0.425

---

Compound: MoAsW
Source: OQMD
Functional: PBE
Structure: relaxed

Properties
Magnetic moment: 0.0 μB per formula unit
Raw total energy: -26.95 eV/cell
Calculated density: 10.65 Mg/m³
Energy above the lowest structure with this stoichiometry: 0 meV/atom

abc: 4.277 4.277 4.277
angles: 60.00 60.00 60.00
Atoms (fractional coordinates):
Mo 0.000 0.000 0.000
As 0.500 0.500 0.500
W 0.750 0.750 0.750

---

Compound: BeCoNiPb
Source: OQMD
Functional: PBE
Structure: relaxed

Properties
Magnetic moment: 1.0 μB per formula unit
Raw total energy: -18.29 eV/cell
Calculated density: 10.49 Mg/m³
Energy above the lowest structure with this stoichiometry: 153 meV/atom

abc: 4.212 4.212 4.212
angles: 60.00 60.00 60.00
Atoms (fractional coordinates):
Be 0.000 0.000 0.000
Co 0.750 0.750 0.750
Ni 0.500 0.500 0.500
Pb 0.250 0.250 0.250

---

Compound: ErZr
Source: OQMD
Functional: PBE
Structure: relaxed

Properties
Magnetic moment: 0.0 μB per formula unit
Raw total energy: -11.14 eV/cell
Calculated density: 7.72 Mg/m³

abc: 4.285 4.285 4.285
angles: 60.00 60.00 60.00
Atoms (fractional coordinates):
Er 0.000 0.000 0.000
Zr 0.500 0.500 0.500

---

Compound: FeReBMo
Source: OQMD
Functional: PBE
Structure: relaxed

Properties
Magnetic moment: 0.0 μB per formula unit
Raw total energy: -36.35 eV/cell
Calculated density: 11.83 Mg/m³
Energy above the lowest structure with this stoichiometry: 0 meV/atom

abc: 4.107 4.107 4.107
angles: 60.00 60.00 60.00
Atoms (fractional coordinates):
Fe 0.000 0.000 0.000
Re 0.500 0.500 0.500
B 0.750 0.750 0.750
Mo 0.250 0.250 0.250

---

Compound: YHg2Pd2
Source: OQMD
Functional: PBE
Structure: relaxed

Properties
Magnetic moment: 0.0 μB per formula unit
Raw total energy: -18.95 eV/cell
Calculated density: 10.84 Mg/m³
Energy above the lowest structure with this stoichiometry: 133 meV/atom

abc: 6.975 6.975 6.975
angles: 145.63 145.63 49.40
Atoms (fractional coordinates):
Y 0.000 0.000 0.000
Hg 0.391 0.391 0.000
Hg 0.609 0.609 0.000
Pd 0.250 0.750 0.500
Pd 0.750 0.250 0.500